Compound: TaGeSN2
Source: Alexandria via LeMat-Bulk
Functional: PBE
Structure: optimized geometry

Lattice parameters (Å, degrees): 3.772 3.772 4.582 90.00 90.00 90.00
Space group P4/mmm (No. 123)
Asymmetric unit:
Ta  0.000  0.000  0.000
Ge  0.500  0.500  0.500
S  0.500  0.500  0.000
N  0.000  0.500  0.500

## Properties
uncorrected formation energy	1.041	eV per atom
calculated volume	65.2	Å³ per cell
total energy	-6.4087	eV/atom

=====

Compound: In4Ga2Hg9
Source: Alexandria via LeMat-Bulk
Functional: PBE
Structure: optimized geometry

Lattice parameters (Å, degrees): 5.956 8.190 17.406 76.95 88.66 71.09
Space group P-1 (No. 2)
Asymmetric unit:
In  0.018  0.263  0.149
In  0.275  0.912  0.037
In  0.367  0.847  0.528
In  0.424  0.064  0.680
Ga  0.069  0.370  0.302
Ga  0.073  0.647  0.367
Hg  0.054  0.018  0.362
Hg  0.085  0.288  0.481
Hg  0.121  0.321  0.969
Hg  0.149  0.832  0.209
Hg  0.285  0.329  0.801
Hg  0.397  0.916  0.865
Hg  0.421  0.498  0.088
Hg  0.434  0.439  0.592
Hg  0.448  0.663  0.724

## Properties
ΔH_f (0 K)	34	meV per atom
calculated volume	781.3	Å³ per cell
total energy	-1.2808	eV/atom

=====

Compound: MgNi6H8
Source: Alexandria via LeMat-Bulk
Functional: PBE
Structure: optimized geometry

Lattice parameters (Å, degrees): 7.888 7.888 7.888 90.00 90.00 90.00
Space group Fm-3m (No. 225)
Asymmetric unit:
Mg  0.000  0.000  0.000
Ni  0.000  0.250  0.250
H  0.147  0.147  0.147

## Properties
calculated volume	490.7	Å³ per cell
total energy	-4.1448	eV/atom

=====

Compound: TiVWCl2
Source: Alexandria via LeMat-Bulk
Functional: PBE
Structure: optimized geometry

Lattice parameters (Å, degrees): 4.407 4.407 5.613 90.00 90.00 90.00
Space group P4/mmm (No. 123)
Asymmetric unit:
Ti  0.000  0.000  0.000
V  0.000  0.000  0.500
W  0.500  0.500  0.500
Cl  0.000  0.500  0.000

## Properties
uncorrected formation energy	1.177	eV per atom
calculated volume	109.0	Å³ per cell
total energy	-5.5546	eV/atom

=====

Compound: LaZr2Te
Source: Alexandria via LeMat-Bulk
Functional: PBE
Structure: optimized geometry

Lattice parameters (Å, degrees): 4.593 4.593 9.705 90.00 90.00 90.00
Space group I-4m2 (No. 119)
Asymmetric unit:
La  0.000  0.000  0.000
Zr  0.000  0.000  0.500
Zr  0.000  0.500  0.250
Te  0.000  0.500  0.750

## Properties
uncorrected formation energy	-0.187	eV per atom
calculated volume	204.7	Å³ per cell
total energy	-6.4788	eV/atom

=====

Compound: BaNa10Sr
Source: Alexandria via LeMat-Bulk
Functional: PBE
Structure: optimized geometry

Lattice parameters (Å, degrees): 5.688 7.136 12.330 90.00 90.00 90.00
Space group Pmmm (No. 47)
Asymmetric unit:
Ba  0.000  0.000  0.000
Na  0.000  0.000  0.338
Na  0.000  0.500  0.171
Na  0.500  0.000  0.500
Na  0.500  0.251  0.254
Na  0.500  0.500  0.000
Sr  0.000  0.500  0.500

## Properties
ΔH_f (0 K)	41	meV per atom
calculated volume	500.5	Å³ per cell
total energy	-1.3582	eV/atom

=====

Compound: TiReGeRh
Source: Alexandria via LeMat-Bulk
Functional: PBE
Structure: optimized geometry

Lattice parameters (Å, degrees): 6.151 6.151 6.151 90.00 90.00 90.00
Space group F-43m (No. 216)
Asymmetric unit:
Ti  0.000  0.000  0.000
Re  0.250  0.250  0.750
Ge  0.000  0.000  0.500
Rh  0.250  0.250  0.250

## Properties
ΔH_f (0 K)	-461	meV per atom
calculated volume	232.7	Å³ per cell
total energy	-8.5391	eV/atom

=====

Compound: Nd2ScCu4
Source: Alexandria via LeMat-Bulk
Functional: PBE
Structure: optimized geometry

Lattice parameters (Å, degrees): 5.004 5.004 12.024 90.00 90.00 90.00
Space group I4/mmm (No. 139)
Asymmetric unit:
Nd  0.000  0.000  0.212
Sc  0.000  0.000  0.500
Cu  0.000  0.500  0.103

## Properties
ΔH_f (0 K)	5	meV per atom
calculated volume	301.1	Å³ per cell
total energy	-4.6026	eV/atom

=====

Compound: CaErSc2As4
Source: Alexandria via LeMat-Bulk
Functional: PBE
Structure: optimized geometry

Lattice parameters (Å, degrees): 6.949 3.984 6.994 90.00 109.07 90.00
Space group P2/m (No. 10)
Asymmetric unit:
Ca  0.000  0.000  0.000
Er  0.500  0.500  0.000
Sc  0.000  0.500  0.500
Sc  0.500  0.000  0.500
As  0.249  0.000  0.734
As  0.262  0.500  0.271

## Properties
ΔH_f (0 K)	-1283	meV per atom
calculated volume	183.0	Å³ per cell
total energy	-6.0115	eV/atom

=====

Compound: Er3In4Co2
Source: Alexandria via LeMat-Bulk
Functional: PBE
Structure: optimized geometry

Lattice parameters (Å, degrees): 8.0806 8.0806 3.4984 90.00 90.00 120.00
Space group P-6 (No. 174)
Asymmetric unit:
Er  0.0805  0.4080  0.0000
In  0.0000  0.0000  0.0000
In  0.3785  0.2961  0.5000
Co  0.3333  0.6667  0.5000
Co  0.6667  0.3333  0.0000

## Properties
ΔH_f (0 K)	-241	meV per atom
calculated volume	197.8	Å³ per cell
total energy	-4.5584	eV/atom

=====

Compound: Ho2ZnGa5
Source: Alexandria via LeMat-Bulk
Functional: PBE
Structure: optimized geometry

Lattice parameters (Å, degrees): 6.008 6.008 8.435 90.00 90.00 90.00
Space group I4mm (No. 107)
Asymmetric unit:
Ho  0.000  0.500  0.000
Zn  0.000  0.000  0.002
Ga  0.000  0.000  0.498
Ga  0.249  0.249  0.750

## Properties
ΔH_f (0 K)	-487	meV per atom
calculated volume	304.5	Å³ per cell
total energy	-3.6828	eV/atom

=====

Compound: La3BiIr
Source: Alexandria via LeMat-Bulk
Functional: PBE
Structure: optimized geometry

Lattice parameters (Å, degrees): 5.602 5.602 5.602 90.00 90.00 90.00
Space group Pm-3m (No. 221)
Asymmetric unit:
La  0.000  0.000  0.500
Bi  0.500  0.500  0.500
Ir  0.000  0.000  0.000

## Properties
ΔH_f (0 K)	-655	meV per atom
calculated volume	175.8	Å³ per cell
total energy	-6.1602	eV/atom

=====

Q: Which of these has the lowest calculated volume?
A: TaGeSN2

=====

Repeat the sixth record exactly.
Compound: BaNa10Sr
Source: Alexandria via LeMat-Bulk
Functional: PBE
Structure: optimized geometry

Lattice parameters (Å, degrees): 5.688 7.136 12.330 90.00 90.00 90.00
Space group Pmmm (No. 47)
Asymmetric unit:
Ba  0.000  0.000  0.000
Na  0.000  0.000  0.338
Na  0.000  0.500  0.171
Na  0.500  0.000  0.500
Na  0.500  0.251  0.254
Na  0.500  0.500  0.000
Sr  0.000  0.500  0.500

## Properties
ΔH_f (0 K)	41	meV per atom
calculated volume	500.5	Å³ per cell
total energy	-1.3582	eV/atom

=====

Q: Which value of calculated volume does entry 11 give?
A: 304.5 Å³ per cell

=====

Q: What is the formula in the sixth record?
A: BaNa10Sr